PBE LaSi2Ni6, optimized geometry; crystal system = tetragonal; raw total energy = -5.99 eV per atom; energy relative to the elements, uncorrected = -0.3876 eV per atom
1.0
-2.844 -2.848 0.660
0.850 -1.686 -3.615
5.186 -4.418 3.281
Ni Si La
6 2 1
Cartesian
2.593 -2.209 1.641 Ni
3.968 -3.862 0.434 Ni
2.121 -4.443 2.571 Ni
2.068 -2.243 -0.768 Ni
1.596 -4.476 0.163 Ni
0.221 -2.824 1.369 Ni
3.281 -5.912 1.229 Si
-0.089 -3.041 -0.903 Si
0.000 0.000 0.000 La